A plane-wave DFT calculation with PBE-GGA was carried out for an optimized crystal structure of Dy2NiCl.

D(E_F) ... 3.24 states/eV/f.u.
Formation energy without anion corrections ... -0.926 eV/atom
Calculated volume ... 23.83 Å³/atom
Offset from the most stable computed form ... 0.000 eV/atom
E_tot ... -20.535 eV per formula unit

abc: 7.599 7.599 7.599
angles: 29.69 29.69 29.69
Sites, in units of the cell vectors:
Dy 0.233 0.233 0.233
Dy 0.767 0.767 0.767
Ni 0.500 0.500 0.500
Cl 0.000 0.000 0.000